[1]
! Nb2NiAgPb (PBE-GGA, optimized geometry); values from VASP
&SYSTEM
  ibrav = 0, nat = 5, ntyp = 4
/
ATOMIC_SPECIES
Nb 92.91 Nb.upf
Ni 58.69 Ni.upf
Ag 107.87 Ag.upf
Pb 207.20 Pb.upf
CELL_PARAMETERS angstrom
5.225 0.000 0.000
0.000 5.225 0.000
0.000 0.000 4.625
ATOMIC_POSITIONS crystal
Nb 0.000 0.500 0.000
Nb 0.500 0.000 0.000
Ni 0.000 0.000 0.500
Ag 0.500 0.500 0.500
Pb 0.000 0.000 0.000
! calculated total energy = -23.5 eV per formula unit
! ρ = 7.36 g/cm3
! space group = P4/mmm (123)
! E_form = 1.799 eV per atom

=====

[2]
! RbNbNi2Ag (PBE-GGA, optimized geometry); values from VASP
&SYSTEM
  ibrav = 0, nat = 5, ntyp = 4
/
ATOMIC_SPECIES
Rb 85.47 Rb.upf
Nb 92.91 Nb.upf
Ni 58.69 Ni.upf
Ag 107.87 Ag.upf
CELL_PARAMETERS angstrom
4.661 0.000 0.000
0.000 4.661 0.000
0.000 0.000 5.950
ATOMIC_POSITIONS crystal
Rb 0.000 0.000 0.000
Nb 0.000 0.000 0.500
Ni 0.000 0.500 0.500
Ni 0.500 0.000 0.500
Ag 0.500 0.500 0.000
! calculated total energy = -18.3 eV per formula unit
! ρ = 5.18 g/cm3
! space group = P4/mmm (123)
! E_form = 1.438 eV per atom

=====

Look up the calculated total energy of the first one.
-23.5 eV per formula unit

=====

Among the records above, which one has the highest E_form?
Nb2NiAgPb